1.
Density functional theory data (GGA-PBEsol) for Al2Ag after structural relaxation.

Structure (POSCAR):
```
Al2Ag
1.0
4.906 0.000 0.000
0.000 2.904 0.000
-0.059 0.000 6.819
Al Ag
4 2
Cartesian
0.000 0.000 0.000
0.829 1.452 2.269
2.453 1.452 0.000
4.019 1.452 4.550
1.558 0.000 4.564
3.290 0.000 2.255
```

Values from the calculation:
**Space-group type**: P2/m (10)
**ΔH_f (0 K)**: -0.037 eV per atom

***

2.
Density functional theory data (GGA-PBEsol) for TaCr2AsO after structural relaxation.

Structure (POSCAR):
```
TaCr2AsO
1.0
4.558 0.000 0.000
0.000 4.558 0.000
0.000 0.000 3.697
Ta Cr As O
1 2 1 1
Cartesian
0.000 0.000 0.000
0.000 2.279 1.849
2.279 0.000 1.849
2.279 2.279 1.849
2.279 2.279 0.000
```

Values from the calculation:
**Formation energy (no corrections)**: 20.77 kcal/mol of atoms
**Space-group type**: P4/mmm (123)

***

3.
Density functional theory data (GGA-PBEsol) for CeB2ClO4 after structural relaxation.

Structure (POSCAR):
```
CeB2ClO4
1.0
4.207 0.000 0.000
2.002 6.236 0.000
0.111 1.003 7.923
Ce B Cl O
2 4 2 8
Cartesian
0.974 0.439 1.753
5.346 6.800 6.170
1.505 3.019 6.731
2.720 2.927 1.556
3.600 4.313 6.368
4.815 4.221 1.192
1.082 1.787 4.323
5.239 5.452 3.601
1.341 3.068 1.424
1.087 1.871 7.305
3.161 5.563 6.245
2.875 3.129 6.464
3.445 4.110 1.459
3.160 1.677 1.679
5.234 5.368 0.619
4.980 4.172 6.499
```

Values from the calculation:
**Formation energy (no corrections)**: -60.23 kcal/mol of atoms
**Space-group type**: P-1 (2)

***

4.
Density functional theory data (GGA-PBEsol) for LaScMn after structural relaxation.

Structure (POSCAR):
```
LaScMn
1.0
-1.619 1.619 6.326
1.619 -1.619 6.326
1.619 1.619 -6.326
La Sc Mn
1 1 1
Cartesian
0.000 0.000 0.000
0.000 0.000 9.348
0.000 0.000 4.469
```

Values from the calculation:
**Energy relative to the lowest polymorph listed for this composition**: 0.000 eV per atom
**Space-group type**: I4mm (107)
**ΔH_f (0 K)**: 0.265 eV per atom

***

5.
Density functional theory data (GGA-PBEsol) for LaSmZn2 after structural relaxation.

Structure (POSCAR):
```
LaSmZn2
1.0
0.000 3.630 3.630
3.630 0.000 3.630
3.630 3.630 0.000
La Sm Zn
1 1 2
Cartesian
0.000 0.000 0.000
3.630 3.630 3.630
1.815 1.815 1.815
5.445 5.445 5.445
```

Values from the calculation:
**Space-group type**: Fm-3m (225)
**ΔH_f (0 K)**: -0.292 eV per atom

***

6.
Density functional theory data (GGA-PBEsol) for Ba3PrIrRuO9 after structural relaxation.

Structure (POSCAR):
```
Ba3PrIrRuO9
1.0
5.918 0.000 0.000
-2.959 5.125 0.000
0.000 0.000 14.889
Ba Pr Ir Ru O
6 2 2 2 18
Cartesian
0.000 0.000 0.000
0.000 0.000 7.444
0.000 3.417 2.219
0.000 3.417 12.735
2.959 1.708 5.291
2.959 1.708 9.664
0.000 0.000 3.732
0.000 0.000 11.177
0.000 3.417 6.218
2.959 1.708 13.663
0.000 3.417 8.694
2.959 1.708 1.249
-1.404 2.606 7.465
0.000 1.830 5.088
-1.375 4.210 5.088
0.000 1.836 9.764
-1.369 4.207 9.764
1.585 0.915 12.533
1.590 0.918 2.319
1.404 2.606 7.465
0.000 5.038 7.465
2.959 0.088 0.021
1.555 2.519 0.021
1.369 4.207 9.764
1.375 4.210 5.088
4.328 0.918 2.319
2.959 3.289 2.319
4.334 0.915 12.533
2.959 3.296 12.533
4.363 2.519 0.021
```

Values from the calculation:
**Formation energy (no corrections)**: -49.37 kcal/mol of atoms
**Space-group type**: P6_3mc (186)